No. 1
Here is a relaxed InHg2Ir crystal from Alexandria. Energies are from PBE.

Results
Size of the total moment ... 0.000 μB per formula unit
Crystal system ... orthorhombic
SG ... Pmm2

a b c (Å): 3.306 4.112 5.918
angles (deg): 90.00 90.00 90.00
Element x y z (fractional)
Ir (0.500, 0.500, 0.724)
Hg (0.000, 0.000, 0.005)
Hg (0.500, 0.500, 0.238)
In (0.000, 0.000, 0.533)

No. 2
Here is a relaxed InHgIr2 crystal from Alexandria. Energies are from PBE.

Results
Size of the total moment ... 0.000 μB per formula unit
Crystal system ... orthorhombic
SG ... Pmm2

a b c (Å): 2.817 3.569 7.541
angles (deg): 90.00 90.00 90.00
Element x y z (fractional)
Ir (0.000, 0.000, 0.031)
Ir (0.500, 0.500, 0.212)
In (0.500, 0.500, 0.793)
Hg (0.000, 0.000, 0.464)

No. 3
Here is a relaxed In3HgIr crystal from Alexandria. Energies are from PBE.

Results
Size of the total moment ... 0.000 μB per formula unit
Crystal system ... trigonal
SG ... R-3c

a b c (Å): 6.098 6.098 6.098
angles (deg): 86.17 86.17 86.17
Element x y z (fractional)
In (0.924, 0.576, 0.250)
In (0.424, 0.750, 0.076)
In (0.750, 0.076, 0.424)
In (0.576, 0.250, 0.924)
In (0.076, 0.424, 0.750)
In (0.250, 0.924, 0.576)
Ir (0.250, 0.250, 0.250)
Ir (0.750, 0.750, 0.750)
Hg (0.500, 0.500, 0.500)
Hg (0.000, 0.000, 0.000)

No. 4
Here is a relaxed In2HgIr crystal from Alexandria. Energies are from PBE.

Results
Size of the total moment ... 0.000 μB per formula unit
Crystal system ... monoclinic
SG ... C2/m

a b c (Å): 7.787 5.098 3.113
angles (deg): 89.60 67.00 130.12
Element x y z (fractional)
Hg (0.500, 0.500, 0.000)
Ir (0.000, 0.500, 0.500)
In (0.500, 0.000, 0.500)
In (0.000, 0.000, 0.000)

No. 5
Here is a relaxed In4HgIr crystal from Alexandria. Energies are from PBE.

Results
Size of the total moment ... 0.000 μB per formula unit
Crystal system ... cubic
SG ... F-43m

a b c (Å): 5.888 5.888 5.888
angles (deg): 60.00 60.00 60.00
Element x y z (fractional)
Hg (0.000, 0.000, 0.000)
In (0.873, 0.376, 0.376)
In (0.376, 0.376, 0.376)
In (0.376, 0.376, 0.873)
In (0.376, 0.873, 0.376)
Ir (0.750, 0.750, 0.750)

No. 6
Here is a relaxed InHg2Ir crystal from Alexandria. Energies are from PBE.

Results
Size of the total moment ... 0.000 μB per formula unit
Crystal system ... orthorhombic
SG ... Immm

a b c (Å): 7.199 7.199 7.199
angles (deg): 156.12 143.18 44.36
Element x y z (fractional)
Ir (0.250, 0.750, 0.500)
Hg (0.436, 0.436, 0.000)
Hg (0.064, 0.064, 0.000)
In (0.750, 0.250, 0.500)

Looking at density for the records above, in order, we have 14.617, 15.325, 10.868, 12.774, 9.802, 13.029 g/cm3.
Looking at ΔH_f (0 K) for the records above, in order, we have 278, 324, 150, 211, 611, 102 meV/atom.
Looking at E for the records above, in order, we have -0.1019, -0.1788, -0.1222, -0.1268, -0.1007, -0.1084 Ha/atom.